First-principles (PBE-GGA) data for BaHoTaN3 after structural relaxation, as listed in the Alexandria database.

Geometry as POSCAR:
```
BaHoTaN3
1.0
6.797 -2.023 0.000
6.797 2.023 0.000
-2.013 0.000 7.462
Ba Ho Ta N
2 2 2 6
Cartesian
1.861 0.000 0.580
9.721 0.000 6.882
0.995 0.000 4.295
10.587 0.000 3.166
5.363 0.000 5.162
6.218 0.000 2.299
-0.557 0.000 2.412
3.281 0.000 4.814
4.342 0.000 1.579
7.239 0.000 5.882
8.301 0.000 2.648
12.139 0.000 5.050
```

Values from the calculation:
- ρ: 8.5 Mg/m³
- Space group: C2/m, No. 12
- Energy relative to the elements, uncorrected: -601 kJ/mol of formula units